# PBE-GGA ScInPt4, optimized geometry
# Total DFT energy (no corrections) (eV/atom): -5.977
# Calculated formation energy (eV per atom): -0.438
# M_tot (μB per formula unit): 0.000
data_ScInPt4
_cell_length_a 4.408
_cell_length_b 4.408
_cell_length_c 6.065
_cell_angle_alpha 90.00
_cell_angle_beta 90.00
_cell_angle_gamma 90.00
_symmetry_space_group_name_H-M 'P 4/m m m'
_symmetry_Int_Tables_number 123
_symmetry_space_group_name_Hall '-P 4 2'
loop_
_atom_site_label
_atom_site_fract_x
_atom_site_fract_y
_atom_site_fract_z
Sc1 0.000 0.000 0.000
In1 0.500 0.500 0.500
Pt1 0.000 0.500 0.245